Below is a geometry-optimized Nd structure, with properties calculated at the PBE level.

Results
polymorph energy (0 for the lowest one) = 1.0 kJ/mol of atoms
formation energy from the elements = 0.0104 eV/atom
D(E_F) = 1.5 states/eV per cell
calculated total energy = -4.7574 eV/atom

Cell and atoms, written as POSCAR:
```
Nd
1.0
0.000 2.603 2.603
2.603 0.000 2.603
2.603 2.603 0.000
Nd
1
direct
0.000 0.000 0.000
```